(1)
The following is a PBEsol calculation of a relaxed structure of Rb2NaAsCl6, from Alexandria via LeMat-Bulk.

Its space group is Fm-3m, No. 225. The calculation puts the magnetization at 0.0000 μB per atom. The uncorrected formation energy is -1.43 eV/atom.

Cell: 7.310 7.310 7.310 Å, 60.00 60.00 60.00°
Fractional positions:
Na: 0.500 0.500 0.500
As: 0.000 0.000 0.000
Rb: 0.250 0.250 0.250
Rb: 0.750 0.750 0.750
Cl: 0.239 0.761 0.239
Cl: 0.239 0.239 0.761
Cl: 0.761 0.761 0.239
Cl: 0.761 0.239 0.239
Cl: 0.239 0.761 0.761
Cl: 0.761 0.239 0.761

***

(2)
The following is a PBEsol calculation of a relaxed structure of Nb2AsCl, from Alexandria via LeMat-Bulk.

Its space group is I-42d, No. 122. The calculation puts the magnetization at 0.0001 μB per atom. The uncorrected formation energy is 0.24 eV/atom.

Cell: 5.744 5.744 5.744 Å, 69.82 70.88 109.12°
Fractional positions:
Nb: 0.023 0.398 0.125
Nb: 0.977 0.852 0.625
Nb: 0.477 0.625 0.398
Nb: 0.523 0.125 0.852
As: 0.000 0.000 0.000
As: 0.500 0.250 0.250
Cl: 0.000 0.500 0.500
Cl: 0.500 0.750 0.750

***

(3)
The following is a PBEsol calculation of a relaxed structure of NbAsPCl13, from Alexandria via LeMat-Bulk.

Its space group is Cmc2_1, No. 36. The calculation puts the magnetization at 0.0000 μB per atom. The uncorrected formation energy is -0.87 eV/atom.

Cell: 9.425 9.425 11.593 Å, 90.00 90.00 114.82°
Fractional positions:
Nb: 0.783 0.217 0.501
Nb: 0.217 0.783 0.001
As: 0.442 0.558 0.854
As: 0.558 0.442 0.354
P: 0.870 0.130 0.038
P: 0.130 0.870 0.538
Cl: 0.302 0.368 0.368
Cl: 0.245 0.755 0.596
Cl: 0.568 0.432 0.163
Cl: 0.005 0.324 0.618
Cl: 0.228 0.085 0.594
Cl: 0.755 0.245 0.096
Cl: 0.368 0.302 0.868
Cl: 0.324 0.005 0.118
Cl: 0.676 0.995 0.618
Cl: 0.772 0.915 0.094
Cl: 0.432 0.568 0.663
Cl: 0.868 0.132 0.870
Cl: 0.443 0.886 0.879
Cl: 0.656 0.344 0.607
Cl: 0.097 0.903 0.881
Cl: 0.995 0.676 0.118
Cl: 0.915 0.772 0.594
Cl: 0.085 0.228 0.094
Cl: 0.344 0.656 0.107
Cl: 0.698 0.632 0.868
Cl: 0.114 0.557 0.879
Cl: 0.132 0.868 0.370
Cl: 0.886 0.443 0.379
Cl: 0.632 0.698 0.368
Cl: 0.903 0.097 0.381
Cl: 0.557 0.114 0.379

***

(4)
The following is a PBEsol calculation of a relaxed structure of NbZnAsCl2, from Alexandria via LeMat-Bulk.

Its space group is P4/mmm, No. 123. The calculation puts the magnetization at 0.3965 μB per atom. The uncorrected formation energy is 0.51 eV/atom.

Cell: 4.275 4.275 6.929 Å, 90.00 90.00 90.00°
Fractional positions:
Zn: 0.000 0.000 0.000
Nb: 0.000 0.000 0.500
As: 0.500 0.500 0.500
Cl: 0.000 0.500 0.000
Cl: 0.500 0.000 0.000

***

(5)
The following is a PBEsol calculation of a relaxed structure of Nd5As4Cl3O12, from Alexandria via LeMat-Bulk.

Its space group is P2/c, No. 13. The calculation puts the magnetization at 0.0000 μB per atom. The uncorrected formation energy is -2.47 eV/atom.

Cell: 5.411 10.171 13.945 Å, 92.95 90.00 90.00°
Fractional positions:
Nd: 0.764 0.920 0.415
Nd: 0.745 0.192 0.032
Nd: 0.236 0.420 0.915
Nd: 0.707 0.250 0.750
Nd: 0.745 0.308 0.468
Nd: 0.255 0.808 0.968
Nd: 0.236 0.080 0.585
Nd: 0.293 0.750 0.250
Nd: 0.764 0.580 0.085
Nd: 0.255 0.692 0.532
As: 0.260 0.412 0.636
As: 0.740 0.912 0.136
As: 0.762 0.889 0.651
As: 0.740 0.588 0.364
As: 0.238 0.389 0.151
As: 0.238 0.111 0.349
As: 0.762 0.611 0.849
As: 0.260 0.088 0.864
Cl: 0.753 0.924 0.918
Cl: 0.753 0.576 0.582
Cl: 0.750 0.250 0.250
Cl: 0.250 0.750 0.750
Cl: 0.247 0.424 0.418
Cl: 0.247 0.076 0.082
O: 0.490 0.111 0.436
O: 0.000 0.631 0.945
O: 0.000 0.131 0.445
O: 0.510 0.611 0.936
O: 0.654 0.602 0.243
O: 0.175 0.561 0.156
O: 0.003 0.199 0.881
O: 0.997 0.699 0.381
O: 0.000 0.369 0.055
O: 0.825 0.061 0.656
O: 0.346 0.398 0.757
O: 0.997 0.801 0.119
O: 0.003 0.301 0.619
O: 0.000 0.869 0.555
O: 0.515 0.713 0.403
O: 0.490 0.389 0.064
O: 0.485 0.287 0.597
O: 0.654 0.898 0.257
O: 0.510 0.889 0.564
O: 0.175 0.939 0.344
O: 0.346 0.102 0.743
O: 0.825 0.439 0.844
O: 0.515 0.787 0.097
O: 0.485 0.213 0.903

***

(6)
The following is a PBEsol calculation of a relaxed structure of NiAs2Cl, from Alexandria via LeMat-Bulk.

Its space group is I-42d, No. 122. The calculation puts the magnetization at 0.0000 μB per atom. The uncorrected formation energy is 0.15 eV/atom.

Cell: 5.850 6.645 5.850 Å, 63.88 90.00 116.12°
Fractional positions:
Ni: 0.750 0.500 0.750
Ni: 0.000 0.000 0.000
As: 0.708 0.750 0.375
As: 0.042 0.750 0.875
As: 0.875 0.250 0.708
As: 0.375 0.250 0.042
Cl: 0.250 0.500 0.250
Cl: 0.500 0.000 0.500

***

(7)
The following is a PBEsol calculation of a relaxed structure of NiAsCl, from Alexandria via LeMat-Bulk.

Its space group is Fmm2, No. 42. The calculation puts the magnetization at 0.0000 μB per atom. The uncorrected formation energy is -0.08 eV/atom.

Cell: 3.106 3.106 5.986 Å, 99.50 99.50 111.32°
Fractional positions:
Ni: 0.665 0.665 0.331
As: 0.038 0.038 0.076
Cl: 0.297 0.297 0.593

***

(8)
The following is a PBEsol calculation of a relaxed structure of Ni3AsCl, from Alexandria via LeMat-Bulk.

Its space group is Pm-3m, No. 221. The calculation puts the magnetization at 0.0001 μB per atom. The uncorrected formation energy is 0.60 eV/atom.

Cell: 4.147 4.147 4.147 Å, 90.00 90.00 90.00°
Fractional positions:
Ni: 0.000 0.500 0.000
Ni: 0.000 0.000 0.500
Ni: 0.500 0.000 0.000
As: 0.500 0.500 0.500
Cl: 0.000 0.000 0.000

***

(9)
The following is a PBEsol calculation of a relaxed structure of Ni3AsCl, from Alexandria via LeMat-Bulk.

Its space group is Pm-3m, No. 221. The calculation puts the magnetization at 0.0002 μB per atom. The uncorrected formation energy is 0.60 eV/atom.

Cell: 4.357 4.357 4.357 Å, 90.00 90.00 90.00°
Fractional positions:
Ni: 0.000 0.500 0.000
Ni: 0.000 0.000 0.500
Ni: 0.500 0.000 0.000
As: 0.000 0.000 0.000
Cl: 0.500 0.500 0.500

***

(10)
The following is a PBEsol calculation of a relaxed structure of NiAs2Cl, from Alexandria via LeMat-Bulk.

Its space group is Cmm2, No. 35. The calculation puts the magnetization at 0.0001 μB per atom. The uncorrected formation energy is 0.15 eV/atom.

Cell: 3.022 3.022 8.103 Å, 90.00 90.00 112.06°
Fractional positions:
Ni: 0.500 0.500 0.243
As: 0.000 0.000 0.047
As: 0.500 0.500 0.774
Cl: 0.000 0.000 0.435

***

(11)
The following is a PBEsol calculation of a relaxed structure of NiAs2Cl, from Alexandria via LeMat-Bulk.

Its space group is Pmmm, No. 47. The calculation puts the magnetization at 0.0000 μB per atom. The uncorrected formation energy is -0.07 eV/atom.

Cell: 2.630 3.354 7.881 Å, 90.00 90.00 90.00°
Fractional positions:
Ni: 0.500 0.500 0.500
As: 0.000 0.000 0.675
As: 0.000 0.000 0.325
Cl: 0.500 0.500 0.000

***

(12)
The following is a PBEsol calculation of a relaxed structure of NiAs2Cl, from Alexandria via LeMat-Bulk.

Its space group is Cmmm, No. 65. The calculation puts the magnetization at 0.0000 μB per atom. The uncorrected formation energy is -0.20 eV/atom.

Cell: 3.773 4.697 4.561 Å, 119.06 90.00 90.00°
Fractional positions:
Ni: 0.500 0.500 0.000
As: 0.000 0.847 0.173
As: 0.000 0.153 0.827
Cl: 0.500 0.500 0.500

***

| no. | volume (Å³ per cell) |
| --- | --- |
| 1 | 276.2 |
| 2 | 145.9 |
| 3 | 934.6 |
| 4 | 126.6 |
| 5 | 766.5 |
| 6 | 178.0 |
| 7 | 51.4 |
| 8 | 71.3 |
| 9 | 82.7 |
| 10 | 68.6 |
| 11 | 69.5 |
| 12 | 70.7 |